Computed, not measured: CeGdPd after structural relaxation at the PBE level of DFT.

Results
For the magnetization, the calculation gives 8.76 μB/f.u. The formation energy comes out at -429 meV/atom. Its energy above the lowest structure with this stoichiometry is 0 meV per atom. For the total energy, the calculation gives -8.831 eV per atom.

a b c (Å): 3.5926 3.5926 6.5354
angles (deg): 105.95 105.95 90.00
With the nearest neighbours (Å) after each atom.
Positions (direct):
Ce: 0.3090 0.3090 0.6180  4 Pd 3.06
Pd: 0.6670 0.6670 0.3340  4 Ce 3.06, 4 Gd 3.07
Gd: 0.0240 0.0240 0.0480  4 Pd 3.07, 1 Ce 3.43

=====

Computed, not measured: CeGdPd after structural relaxation at the PBE level of DFT.

Results
For the magnetization, the calculation gives 6.42 μB/f.u. The formation energy comes out at -291 meV/atom. Its energy above the lowest structure with this stoichiometry is 137 meV per atom. For the total energy, the calculation gives -8.694 eV per atom.

a b c (Å): 3.7077 4.7800 4.7800
angles (deg): 120.00 90.00 90.00
With the nearest neighbours (Å) after each atom.
Positions (direct):
Gd: 0.6375 0.6667 0.3333  3 Pd 2.98, 3 Ce 3.12
Pd: 0.3345 0.3333 0.6667  3 Gd 2.98, 3 Ce 2.98
Ce: 0.0280 0.0000 0.0000  3 Pd 2.98, 3 Gd 3.12

=====

Computed, not measured: CeGdPd after structural relaxation at the PBE level of DFT.

Results
For the magnetization, the calculation gives 8.62 μB/f.u. The formation energy comes out at -302 meV/atom. Its energy above the lowest structure with this stoichiometry is 127 meV per atom. For the total energy, the calculation gives -8.704 eV per atom.

a b c (Å): 4.9476 4.9476 4.9476
angles (deg): 60.00 60.00 60.00
With the nearest neighbours (Å) after each atom.
Positions (direct):
Pd: 0.2500 0.2500 0.2500  4 Gd 3.03, 4 Ce 3.03
Ce: 0.5000 0.5000 0.5000  4 Pd 3.03
Gd: 0.0000 0.0000 0.0000  4 Pd 3.03

=====

Computed, not measured: CeGdPdPt after structural relaxation at the PBE level of DFT.

Results
For the magnetization, the calculation gives 6.39 μB/f.u. The formation energy comes out at -894 meV/atom. For the total energy, the calculation gives -8.706 eV per atom.

a b c (Å): 5.0342 5.0342 5.0342
angles (deg): 60.00 60.00 60.00
With the nearest neighbours (Å) after each atom.
Positions (direct):
Pd: 0.2500 0.2500 0.2500  4 Gd 3.08, 4 Ce 3.08
Gd: 0.5000 0.5000 0.5000  4 Pt 3.08, 4 Pd 3.08
Ce: 0.0000 0.0000 0.0000  4 Pd 3.08, 4 Pt 3.08
Pt: 0.7500 0.7500 0.7500  4 Gd 3.08, 4 Ce 3.08

=====

Computed, not measured: CeGdPdRh after structural relaxation at the PBE level of DFT.

Results
For the magnetization, the calculation gives 6.34 μB/f.u. The formation energy comes out at -709 meV/atom. For the total energy, the calculation gives -8.849 eV per atom.

a b c (Å): 4.9820 4.9820 4.9820
angles (deg): 60.00 60.00 60.00
With the nearest neighbours (Å) after each atom.
Positions (direct):
Rh: 0.5000 0.5000 0.5000  4 Ce 3.05, 4 Gd 3.05
Pd: 0.0000 0.0000 0.0000  4 Gd 3.05, 4 Ce 3.05
Gd: 0.7500 0.7500 0.7500  4 Pd 3.05, 4 Rh 3.05
Ce: 0.2500 0.2500 0.2500  4 Pd 3.05, 4 Rh 3.05

=====

Computed, not measured: CeGdTcPd after structural relaxation at the PBE level of DFT.

Results
For the magnetization, the calculation gives 7.01 μB/f.u. The formation energy comes out at -327 meV/atom. For the total energy, the calculation gives -9.220 eV per atom.

a b c (Å): 4.9447 4.9447 4.9447
angles (deg): 60.00 60.00 60.00
With the nearest neighbours (Å) after each atom.
Positions (direct):
Tc: 0.7500 0.7500 0.7500  4 Gd 3.03, 4 Ce 3.03
Pd: 0.2500 0.2500 0.2500  4 Ce 3.03, 4 Gd 3.03
Ce: 0.0000 0.0000 0.0000  4 Pd 3.03, 4 Tc 3.03
Gd: 0.5000 0.5000 0.5000  4 Tc 3.03, 4 Pd 3.03

=====

Computed, not measured: CeGdTlPd after structural relaxation at the PBE level of DFT.

Results
For the magnetization, the calculation gives 6.52 μB/f.u. The formation energy comes out at -419 meV/atom. For the total energy, the calculation gives -7.313 eV per atom.

a b c (Å): 5.2724 5.2724 5.2724
angles (deg): 60.00 60.00 60.00
With the nearest neighbours (Å) after each atom.
Positions (direct):
Gd: 0.7500 0.7500 0.7500  4 Tl 3.23, 4 Pd 3.23
Tl: 0.0000 0.0000 0.0000  4 Gd 3.23, 4 Ce 3.23
Pd: 0.5000 0.5000 0.5000  4 Ce 3.23, 4 Gd 3.23
Ce: 0.2500 0.2500 0.2500  4 Tl 3.23, 4 Pd 3.23

=====

Computed, not measured: CeGdZnPd after structural relaxation at the PBE level of DFT.

Results
For the magnetization, the calculation gives 7.83 μB/f.u. The formation energy comes out at -462 meV/atom. For the total energy, the calculation gives -7.082 eV per atom.

a b c (Å): 5.0838 5.0838 5.0838
angles (deg): 60.00 60.00 60.00
With the nearest neighbours (Å) after each atom.
Positions (direct):
Zn: 0.0000 0.0000 0.0000  4 Gd 3.11, 4 Ce 3.11
Pd: 0.5000 0.5000 0.5000  4 Ce 3.11, 4 Gd 3.11
Ce: 0.7500 0.7500 0.7500  4 Pd 3.11, 4 Zn 3.11
Gd: 0.2500 0.2500 0.2500  4 Zn 3.11, 4 Pd 3.11

=====

Computed, not measured: Ce2PmGd after structural relaxation at the PBE level of DFT.

Results
For the magnetization, the calculation gives 10.72 μB/f.u. The formation energy comes out at 255 meV/atom. Its energy above the lowest structure with this stoichiometry is 140 meV per atom. For the total energy, the calculation gives -7.420 eV per atom.

a b c (Å): 5.6889 5.6889 5.6889
angles (deg): 60.00 60.00 60.00
With the nearest neighbours (Å) after each atom.
Positions (direct):
Ce: 0.7500 0.7500 0.7500  4 Pm 3.48, 4 Gd 3.48
Ce: 0.2500 0.2500 0.2500  4 Gd 3.48, 4 Pm 3.48
Pm: 0.0000 0.0000 0.0000  8 Ce 3.48
Gd: 0.5000 0.5000 0.5000  8 Ce 3.48

=====

Computed, not measured: CePmGd after structural relaxation at the PBE level of DFT.

Results
For the magnetization, the calculation gives 7.03 μB/f.u. The formation energy comes out at 67 meV/atom. Its energy above the lowest structure with this stoichiometry is 0 meV per atom. For the total energy, the calculation gives -8.188 eV per atom.

a b c (Å): 3.5562 3.5562 7.9377
angles (deg): 102.94 102.94 90.00
With the nearest neighbours (Å) after each atom.
Positions (direct):
Pm: 0.0066 0.0066 0.0131  4 Ce 3.50, 4 Pm 3.56, 4 Gd 3.71
Ce: 0.6681 0.6681 0.3361  4 Gd 3.45, 4 Pm 3.50, 4 Ce 3.56
Gd: 0.3254 0.3254 0.6508  4 Ce 3.45, 4 Gd 3.56, 4 Pm 3.71

=====

Computed, not measured: Ce2PmGd after structural relaxation at the PBE level of DFT.

Results
For the magnetization, the calculation gives 5.78 μB/f.u. The formation energy comes out at 231 meV/atom. Its energy above the lowest structure with this stoichiometry is 116 meV per atom. For the total energy, the calculation gives -7.444 eV per atom.

a b c (Å): 3.4080 3.4080 12.4433
angles (deg): 82.13 82.13 60.00
With the nearest neighbours (Å) after each atom.
Positions (direct):
Gd: 0.5000 0.5000 0.5000  6 Gd 3.41, 6 Ce 3.53
Ce: 0.9129 0.9129 0.2614  1 Pm 3.21, 6 Ce 3.41, 3 Gd 3.53
Ce: 0.0871 0.0871 0.7386  1 Pm 3.21, 6 Ce 3.41, 3 Gd 3.53
Pm: 0.0000 0.0000 0.0000  2 Ce 3.21, 6 Pm 3.41

=====

Computed, not measured: CePm4Gd after structural relaxation at the PBE level of DFT.

Results
For the magnetization, the calculation gives 5.89 μB/f.u. The formation energy comes out at 312 meV/atom. For the total energy, the calculation gives -6.190 eV per atom.

a b c (Å): 6.6761 6.6761 6.6761
angles (deg): 60.00 60.00 60.00
With the nearest neighbours (Å) after each atom.
Positions (direct):
Gd: 0.2500 0.2500 0.2500  12 Pm 3.91, 4 Ce 4.09
Pm: 0.6250 0.6250 0.1249  6 Pm 3.34
Pm: 0.1249 0.6250 0.6250  6 Pm 3.34
Pm: 0.6250 0.6250 0.6250  6 Pm 3.34
Pm: 0.6250 0.1249 0.6250  6 Pm 3.34
Ce: 0.0000 0.0000 0.0000  12 Pm 3.91, 4 Gd 4.09